First-principles (GGA-PBE) data for crystalline PmSnHg at its relaxed geometry, as listed in Alexandria via LeMat-Bulk.

symmetry = I4mm (107)
DFT total energy = -3.41 eV/atom
total moment = 0.000 μB per atom
energy of formation = -387 meV/atom
energy relative to the lowest polymorph listed for this composition = 137 meV/atom

Structure (CIF):
```
data_PmSnHg
_cell_length_a 3.7568
_cell_length_b 3.7568
_cell_length_c 6.3481
_cell_angle_alpha 107.21
_cell_angle_beta 107.21
_cell_angle_gamma 90.00
_symmetry_space_group_name_H-M 'P 1'
_symmetry_Int_Tables_number 1
_symmetry_space_group_name_Hall 'P 1'
loop_
_atom_site_label
_atom_site_fract_x
_atom_site_fract_y
_atom_site_fract_z
Hg1 0.9542 0.9542 0.9084
Sn1 0.6056 0.6056 0.2112
Pm1 0.2902 0.2902 0.5803
```

---

First-principles (GGA-PBE) data for crystalline Pm6SnHg6 at its relaxed geometry, as listed in Alexandria via LeMat-Bulk.

symmetry = P6/mmm (191)
DFT total energy = -2.97 eV/atom
total moment = 0.088 μB per atom
energy of formation = -329 meV/atom

Structure (CIF):
```
data_Pm6SnHg6
_cell_length_a 6.3754
_cell_length_b 6.3754
_cell_length_c 10.6589
_cell_angle_alpha 90.00
_cell_angle_beta 90.00
_cell_angle_gamma 120.01
_symmetry_space_group_name_H-M 'P 1'
_symmetry_Int_Tables_number 1
_symmetry_space_group_name_Hall 'P 1'
loop_
_atom_site_label
_atom_site_fract_x
_atom_site_fract_y
_atom_site_fract_z
Pm1 0.0000 0.0000 0.6920
Pm2 0.0000 0.0000 0.3080
Pm3 0.3334 0.6666 0.0000
Pm4 0.6666 0.3334 0.0000
Pm5 0.3333 0.6667 0.5000
Pm6 0.6667 0.3333 0.5000
Sn1 0.0000 0.0000 0.0000
Hg1 0.0000 0.5000 0.7490
Hg2 0.5000 0.0000 0.7490
Hg3 0.5000 0.5000 0.7490
Hg4 0.5000 0.0000 0.2510
Hg5 0.0000 0.5000 0.2510
Hg6 0.5000 0.5000 0.2510
```

---

First-principles (GGA-PBE) data for crystalline PmSnHg4 at its relaxed geometry, as listed in Alexandria via LeMat-Bulk.

symmetry = F-43m (216)
DFT total energy = -1.76 eV/atom
total moment = 0.000 μB per atom
energy of formation = -98 meV/atom
energy relative to the lowest polymorph listed for this composition = 178 meV/atom

Structure (CIF):
```
data_PmSnHg4
_cell_length_a 6.0392
_cell_length_b 6.0392
_cell_length_c 6.0392
_cell_angle_alpha 60.00
_cell_angle_beta 60.00
_cell_angle_gamma 60.00
_symmetry_space_group_name_H-M 'P 1'
_symmetry_Int_Tables_number 1
_symmetry_space_group_name_Hall 'P 1'
loop_
_atom_site_label
_atom_site_fract_x
_atom_site_fract_y
_atom_site_fract_z
Hg1 0.6251 0.6251 0.1247
Hg2 0.6251 0.1247 0.6251
Hg3 0.6251 0.6251 0.6251
Hg4 0.1247 0.6251 0.6251
Sn1 0.0000 0.0000 0.0000
Pm1 0.2500 0.2500 0.2500
```

---

First-principles (GGA-PBE) data for crystalline Pm12SnHg6 at its relaxed geometry, as listed in Alexandria via LeMat-Bulk.

symmetry = R-3 (148)
DFT total energy = -3.40 eV/atom
total moment = 0.000 μB per atom
energy of formation = -90 meV/atom

Structure (CIF):
```
data_Pm12SnHg6
_cell_length_a 8.9801
_cell_length_b 8.9801
_cell_length_c 8.9801
_cell_angle_alpha 100.99
_cell_angle_beta 100.99
_cell_angle_gamma 100.99
_symmetry_space_group_name_H-M 'P 1'
_symmetry_Int_Tables_number 1
_symmetry_space_group_name_Hall 'P 1'
loop_
_atom_site_label
_atom_site_fract_x
_atom_site_fract_y
_atom_site_fract_z
Pm1 0.8220 0.5763 0.4341
Pm2 0.4341 0.8220 0.5763
Pm3 0.5763 0.4341 0.8220
Pm4 0.1780 0.4237 0.5659
Pm5 0.5659 0.1780 0.4237
Pm6 0.4237 0.5659 0.1780
Pm7 0.0646 0.9316 0.3276
Pm8 0.0684 0.6724 0.9354
Pm9 0.6724 0.9354 0.0684
Pm10 0.9354 0.0684 0.6724
Pm11 0.9316 0.3276 0.0646
Pm12 0.3276 0.0646 0.9316
Sn1 0.0000 0.0000 0.0000
Hg1 0.6908 0.8598 0.3872
Hg2 0.6128 0.3092 0.1402
Hg3 0.1402 0.6128 0.3092
Hg4 0.3092 0.1402 0.6128
Hg5 0.3872 0.6908 0.8598
Hg6 0.8598 0.3872 0.6908
```

---

First-principles (GGA-PBE) data for crystalline PmSnHg at its relaxed geometry, as listed in Alexandria via LeMat-Bulk.

symmetry = P-1 (2)
DFT total energy = -3.53 eV/atom
total moment = 0.000 μB per atom
energy of formation = -509 meV/atom
energy relative to the lowest polymorph listed for this composition = 15 meV/atom

Structure (CIF):
```
data_PmSnHg
_cell_length_a 6.4064
_cell_length_b 6.5784
_cell_length_c 6.4064
_cell_angle_alpha 118.49
_cell_angle_beta 135.22
_cell_angle_gamma 61.64
_symmetry_space_group_name_H-M 'P 1'
_symmetry_Int_Tables_number 1
_symmetry_space_group_name_Hall 'P 1'
loop_
_atom_site_label
_atom_site_fract_x
_atom_site_fract_y
_atom_site_fract_z
Pm1 0.3016 0.1365 0.0065
Pm2 0.9285 0.5944 0.3792
Sn1 0.6194 0.5942 0.6884
Sn2 0.6107 0.1368 0.6972
Hg1 0.2567 0.6607 0.0516
Hg2 0.9734 0.0703 0.3340
```

---

First-principles (GGA-PBE) data for crystalline Pm4Sn3Hg2 at its relaxed geometry, as listed in Alexandria via LeMat-Bulk.

symmetry = C2/m (12)
DFT total energy = -4.07 eV/atom
total moment = 0.000 μB per atom
energy of formation = -558 meV/atom

Structure (CIF):
```
data_Pm4Sn3Hg2
_cell_length_a 4.9102
_cell_length_b 6.3782
_cell_length_c 8.9528
_cell_angle_alpha 88.74
_cell_angle_beta 90.00
_cell_angle_gamma 112.64
_symmetry_space_group_name_H-M 'P 1'
_symmetry_Int_Tables_number 1
_symmetry_space_group_name_Hall 'P 1'
loop_
_atom_site_label
_atom_site_fract_x
_atom_site_fract_y
_atom_site_fract_z
Pm1 0.6518 0.3036 0.0555
Pm2 0.0931 0.1862 0.6661
Pm3 0.9069 0.8138 0.3339
Pm4 0.3482 0.6964 0.9445
Sn1 0.3902 0.7805 0.5872
Sn2 0.0000 0.0000 0.0000
Sn3 0.6098 0.2195 0.4128
Hg1 0.2333 0.4665 0.2821
Hg2 0.7667 0.5335 0.7179
```